Here is MnSN2 after structural relaxation from Alexandria via LeMat-Bulk. Energies are from GGA-PBEsol.

POSCAR file:
```
MnSN2
1.0
-0.474 1.602 -2.229
-2.609 0.422 -0.882
-1.436 5.335 2.399
N Mn S
2 1 1
direct
0.108 0.108 0.677
0.892 0.892 0.323
0.000 0.000 0.000
0.500 0.500 0.500
```

Here is MnSbSN2 after structural relaxation from Alexandria via LeMat-Bulk. Energies are from GGA-PBEsol.

POSCAR file:
```
MnSbSN2
1.0
-2.973 -2.202 -0.296
1.444 -1.541 -3.052
2.134 -3.236 2.643
Mn S N Sb
1 1 2 1
direct
0.000 0.000 0.000
0.000 0.000 0.500
0.500 0.000 0.000
0.000 0.500 0.000
0.500 0.500 0.500
```

Here is ScMnS2N after structural relaxation from Alexandria via LeMat-Bulk. Energies are from GGA-PBEsol.

POSCAR file:
```
ScMnS2N
1.0
3.458 0.000 0.000
0.000 4.584 0.000
0.000 0.000 4.584
Sc Mn S N
1 1 2 1
direct
0.500 0.500 0.500
0.000 0.000 0.000
0.000 0.500 0.000
0.000 0.000 0.500
0.500 0.000 0.000
```

Here is MnSiS2N after structural relaxation from Alexandria via LeMat-Bulk. Energies are from GGA-PBEsol.

POSCAR file:
```
MnSiS2N
1.0
3.419 0.000 0.000
0.000 4.597 0.000
0.000 0.000 4.597
Mn S N Si
1 2 1 1
direct
0.000 0.000 0.000
0.000 0.000 0.500
0.000 0.500 0.000
0.500 0.000 0.000
0.500 0.500 0.500
```

Here is SrMnS2N after structural relaxation from Alexandria via LeMat-Bulk. Energies are from GGA-PBEsol.

POSCAR file:
```
SrMnS2N
1.0
3.573 0.000 0.000
0.000 4.824 0.000
0.000 0.000 4.824
S Sr Mn N
2 1 1 1
direct
0.000 0.500 0.000
0.000 0.000 0.500
0.500 0.500 0.500
0.000 0.000 0.000
0.500 0.000 0.000
```

Here is ZrMnS2N after structural relaxation from Alexandria via LeMat-Bulk. Energies are from GGA-PBEsol.

POSCAR file:
```
ZrMnS2N
1.0
-0.319 0.405 -3.951
0.421 -4.940 -0.541
-4.953 -0.460 0.352
Mn N Zr S
1 1 1 2
direct
0.500 0.500 0.500
0.500 0.000 0.000
0.000 0.000 0.000
0.000 0.000 0.500
0.000 0.500 0.000
```

Here is Mn2SbN after structural relaxation from Alexandria via LeMat-Bulk. Energies are from GGA-PBEsol.

POSCAR file:
```
Mn2SbN
1.0
-3.425 1.519 0.168
-1.099 -2.162 -2.861
-2.597 -6.508 5.914
Mn Sb N
4 2 2
direct
0.000 0.500 0.028
0.500 0.500 0.500
0.000 0.000 0.500
0.500 0.000 0.972
0.500 0.000 0.690
0.000 0.500 0.310
0.000 0.000 0.000
0.500 0.500 0.000
```

Here is MnSbN2 after structural relaxation from Alexandria via LeMat-Bulk. Energies are from GGA-PBEsol.

POSCAR file:
```
MnSbN2
1.0
-1.020 -2.768 0.602
1.942 -2.265 0.401
0.509 -0.426 6.434
Sb Mn N
1 1 2
direct
0.000 0.000 0.000
0.500 0.500 0.500
0.885 0.885 0.346
0.115 0.115 0.654
```

The following DOS(E_F) values (in states/eV per atom) correspond, in order, to the records above: 0.51 0.72 0.48 0.46 0.27 0.56 0.83 0.32.
The following formation energy from raw total energies values (in eV per formula unit) correspond, in order, to the records above: 3.22 2.48 -3.18 1.14 -3.96 -0.12 0.45 0.43.
The following total moment values (in μB/atom) correspond, in order, to the records above: 0.644 0.061 0.294 0.307 0.386 1.128 1.081 0.661.